First-principles (PBE-GGA) data for Pm6Sn3P after structural relaxation, as listed in Alexandria via LeMat-Bulk.

Values from the calculation:
- calculated density (g/cm3) = 6.77
- formation energy (eV per atom) = -0.742
- DFT total energy (eV/cell) = -106.7

Lattice parameters (Å, degrees): 6.4683 8.6204 12.7773 90.00 119.99 90.00
With the nearest neighbours (Å) after each atom.
Atoms (fractional coordinates):
Pm (0.0733, 0.1621, 0.4350)  1 P 2.82, 1 Sn 3.13
Pm (0.0733, 0.3379, 0.9350)  1 P 2.82, 1 Sn 3.13
Pm (0.3226, 0.6924, 0.4367)  1 P 2.84, 1 Sn 3.07
Pm (0.3226, 0.8076, 0.9367)  1 P 2.84, 1 Sn 3.07
Pm (0.3961, 0.0436, 0.2614)  1 P 2.80, 1 Sn 3.05
Pm (0.3961, 0.4564, 0.7614)  1 P 2.80, 1 Sn 3.05
Pm (0.6039, 0.5436, 0.2386)  1 P 2.80, 1 Sn 3.05
Pm (0.6039, 0.9564, 0.7386)  1 P 2.80, 1 Sn 3.05
Pm (0.6774, 0.1924, 0.0633)  1 P 2.84, 1 Sn 3.07
Pm (0.6774, 0.3076, 0.5633)  1 P 2.84, 1 Sn 3.07
Pm (0.9267, 0.6621, 0.0650)  1 P 2.82, 1 Sn 3.13
Pm (0.9267, 0.8379, 0.5650)  1 P 2.82, 1 Sn 3.13
Sn (0.0000, 0.0000, 0.0000)  6 Pm 3.05-3.13
Sn (0.0000, 0.5000, 0.5000)  6 Pm 3.05-3.13
Sn (0.1645, 0.1163, 0.7558)  6 Pm 3.21-3.33
Sn (0.1645, 0.3837, 0.2558)  6 Pm 3.21-3.33
Sn (0.8355, 0.6163, 0.7442)  6 Pm 3.21-3.33
Sn (0.8355, 0.8837, 0.2442)  6 Pm 3.21-3.33
P (0.5000, 0.0000, 0.5000)  6 Pm 2.80-2.84
P (0.5000, 0.5000, 0.0000)  6 Pm 2.80-2.84